No. 1
The following is a DFT calculation (PBE) of a geometry-optimized TbTmCu2Sn2 structure.

Size of the total moment ... 0.00 μB per formula unit
Total energy ... -4.69 eV per atom

abc: 4.5206 4.5206 7.1959
angles: 90.00 90.00 120.00
With the nearest neighbours (Å) after each atom.
Space group P3m1 (No. 156)
Inequivalent atoms, fractional coordinates:
1 Tb 0.0000 0.0000 0.0000 (multiplicity 1)  3 Cu 2.93, 6 Sn 3.10-3.27
2 Tm 0.0000 0.0000 0.4994 (multiplicity 1)  3 Cu 2.90, 6 Sn 3.08-3.24
3 Cu 0.3333 0.6667 0.3229 (multiplicity 1)  4 Sn 2.69-2.91, 3 Tm 2.90
4 Cu 0.6667 0.3333 0.8135 (multiplicity 1)  3 Sn 2.68, 3 Tb 2.93
5 Sn 0.3333 0.6667 0.7268 (multiplicity 1)  4 Cu 2.68-2.91
6 Sn 0.6667 0.3333 0.2332 (multiplicity 1)  3 Cu 2.69

***

No. 2
The following is a DFT calculation (PBE) of a geometry-optimized Ho3As2P structure.

Size of the total moment ... 0.01 μB per formula unit
Total energy ... -6.29 eV per atom

abc: 4.0600 4.0600 9.9548
angles: 90.00 90.00 120.00
With the nearest neighbours (Å) after each atom.
Space group P-3m1 (No. 164)
Inequivalent atoms, fractional coordinates:
1 Ho 0.0000 0.0000 0.0000 (multiplicity 1)  6 As 2.89
2 Ho 0.3333 0.6667 0.3396 (multiplicity 2)  3 P 2.84, 3 As 2.89
3 As 0.3333 0.6667 0.8307 (multiplicity 2)  6 Ho 2.89
4 P 0.0000 0.0000 0.5000 (multiplicity 1)  6 Ho 2.84

***

No. 3
The following is a DFT calculation (PBE) of a geometry-optimized Lu4Hf2Sn3N3 structure.

Size of the total moment ... 0.00 μB per formula unit
Total energy ... -7.41 eV per atom

abc: 10.1513 5.8682 15.0845
angles: 90.00 103.06 90.00
With the nearest neighbours (Å) after each atom.
Space group C2/c (No. 15)
Inequivalent atoms, fractional coordinates:
1 Lu 0.1130 0.0792 0.0873 (multiplicity 8)  3 N 2.35-2.36
2 Lu 0.2185 0.0858 0.4127 (multiplicity 8)  3 N 2.35
3 Hf 0.0583 0.4150 0.9204 (multiplicity 8)  3 N 2.25-2.26
4 Sn 0.0000 0.1038 0.7500 (multiplicity 4)  2 Hf 3.10, 4 Lu 3.12-3.13, 2 Sn 3.17
5 Sn 0.1560 0.4280 0.2489 (multiplicity 8)  2 Hf 3.10-3.11, 4 Lu 3.13-3.14, 2 Sn 3.17
6 N 0.0806 0.2576 0.5000 (multiplicity 8)  2 Hf 2.25, 4 Lu 2.35-2.36
7 N 0.2500 0.2500 0.0000 (multiplicity 4)  2 Hf 2.26, 4 Lu 2.35

***

No. 4
The following is a DFT calculation (PBE) of a geometry-optimized Ta4BeGe structure.

Size of the total moment ... 0.00 μB per formula unit
Total energy ... -9.60 eV per atom

abc: 6.1424 6.1424 5.0600
angles: 90.00 90.00 90.00
With the nearest neighbours (Å) after each atom.
Space group P4/mcc (No. 124)
Inequivalent atoms, fractional coordinates:
1 Ta 0.1449 0.3237 0.0000 (multiplicity 8)  2 Be 2.52, 2 Ge 2.74, 1 Ta 2.80
2 Be 0.0000 0.0000 0.2500 (multiplicity 2)  8 Ta 2.52, 2 Be 2.53
3 Ge 0.5000 0.5000 0.2500 (multiplicity 2)  2 Ge 2.53, 8 Ta 2.74

***

No. 5
The following is a DFT calculation (PBE) of a geometry-optimized FeAgSnIr structure.

Size of the total moment ... 2.63 μB per formula unit
Total energy ... -5.78 eV per atom
Energy relative to the lowest polymorph listed for this composition ... 0 meV per atom

abc: 6.3811 6.3811 6.3811
angles: 90.00 90.00 90.00
With the nearest neighbours (Å) after each atom.
Space group F-43m (No. 216)
Inequivalent atoms, fractional coordinates:
1 Fe 0.0000 0.0000 0.0000 (multiplicity 4)  4 Sn 2.76, 4 Ag 2.76
2 Ag 0.2500 0.2500 0.2500 (multiplicity 4)  4 Fe 2.76, 4 Ir 2.76
3 Sn 0.2500 0.2500 0.7500 (multiplicity 4)  4 Fe 2.76, 4 Ir 2.76
4 Ir 0.0000 0.0000 0.5000 (multiplicity 4)  4 Sn 2.76, 4 Ag 2.76

***

No. 6
The following is a DFT calculation (PBE) of a geometry-optimized PmTmNb structure.

Size of the total moment ... 2.14 μB per formula unit
Total energy ... -5.63 eV per atom
DFT formation energy ... 807.3 meV per atom
Energy relative to the lowest polymorph listed for this composition ... 0 meV per atom

abc: 7.1834 7.1834 7.1834
angles: 90.00 90.00 90.00
With the nearest neighbours (Å) after each atom.
Space group F-43m (No. 216)
Inequivalent atoms, fractional coordinates:
1 Pm 0.0000 0.0000 0.0000 (multiplicity 4)  4 Nb 3.11
2 Tm 0.0000 0.0000 0.5000 (multiplicity 4)  4 Nb 3.11
3 Nb 0.2500 0.2500 0.2500 (multiplicity 4)  4 Pm 3.11, 4 Tm 3.11

***

No. 7
The following is a DFT calculation (PBE) of a geometry-optimized GdTeAsO structure.

Size of the total moment ... 0.00 μB per formula unit
Total energy ... -5.66 eV per atom
Energy relative to the lowest polymorph listed for this composition ... 0 meV per atom

abc: 5.4316 7.1519 5.8666
angles: 90.00 90.00 90.00
With the nearest neighbours (Å) after each atom.
Space group Pmc2_1 (No. 26)
Inequivalent atoms, fractional coordinates:
1 Gd 0.0000 0.1848 0.0000 (multiplicity 2)  2 O 2.06
2 Te 0.5000 0.3076 0.6511 (multiplicity 2)  2 As 2.62-2.84
3 As 0.5000 0.3267 0.1682 (multiplicity 2)  2 Te 2.62-2.84
4 O 0.0000 0.0602 0.3159 (multiplicity 2)  2 Gd 2.06

***

No. 8
The following is a DFT calculation (PBE) of a geometry-optimized ScCdNiB structure.

Size of the total moment ... 0.00 μB per formula unit
Total energy ... -4.60 eV per atom
Energy relative to the lowest polymorph listed for this composition ... 97 meV per atom

abc: 6.1128 6.1128 6.1128
angles: 90.00 90.00 90.00
With the nearest neighbours (Å) after each atom.
Space group F-43m (No. 216)
Inequivalent atoms, fractional coordinates:
1 Sc 0.0000 0.0000 0.0000 (multiplicity 4)  4 Cd 2.65, 4 B 2.65
2 Cd 0.2500 0.2500 0.7500 (multiplicity 4)  4 Ni 2.65, 4 Sc 2.65
3 Ni 0.0000 0.0000 0.5000 (multiplicity 4)  4 Cd 2.65, 4 B 2.65
4 B 0.2500 0.2500 0.2500 (multiplicity 4)  4 Ni 2.65, 4 Sc 2.65

***

No. 9
The following is a DFT calculation (PBE) of a geometry-optimized AgBiO2 structure.

Total energy ... -4.75 eV per atom

abc: 5.7054 19.8243 5.0676
angles: 90.00 90.00 90.00
With the nearest neighbours (Å) after each atom.
Space group Ibam (No. 72)
Inequivalent atoms, fractional coordinates:
1 Ag 0.0000 0.2472 0.2500 (multiplicity 8)  4 O 2.36-2.42, 2 Ag 2.53
2 Bi 0.2237 0.0738 0.0000 (multiplicity 8)  2 O 2.06-2.12
3 O 0.1480 0.0675 0.5000 (multiplicity 8)  1 Bi 2.12
4 O 0.2490 0.3223 0.5000 (multiplicity 8)  1 Bi 2.06

***

No. 10
The following is a DFT calculation (PBE) of a geometry-optimized Er3Sn3IrPt2 structure.

Size of the total moment ... 0.00 μB per formula unit
Total energy ... -6.23 eV per atom

abc: 7.5569 7.5569 3.8705
angles: 90.00 90.00 120.00
With the nearest neighbours (Å) after each atom.
Space group P-62m (No. 189)
Inequivalent atoms, fractional coordinates:
1 Er 0.0000 0.4026 0.0000 (multiplicity 3)  4 Pt 3.01, 1 Ir 3.04, 6 Sn 3.20-3.30
2 Sn 0.0000 0.7404 0.5000 (multiplicity 3)  2 Ir 2.76, 2 Pt 2.84
3 Ir 0.0000 0.0000 0.0000 (multiplicity 1)  6 Sn 2.76, 3 Er 3.04
4 Pt 0.3333 0.6667 0.5000 (multiplicity 2)  3 Sn 2.84, 6 Er 3.01

***

No. 11
The following is a DFT calculation (PBE) of a geometry-optimized Dy2Ho2CIBr2Cl2 structure.

Size of the total moment ... 0.25 μB per formula unit
Total energy ... -5.08 eV per atom
Energy relative to the lowest polymorph listed for this composition ... 2 meV per atom

abc: 17.1036 3.8252 8.4438
angles: 90.00 103.79 90.00
With the nearest neighbours (Å) after each atom.
Space group C2/m (No. 12)
Inequivalent atoms, fractional coordinates:
1 Dy 0.1436 0.0000 0.0714 (multiplicity 4)  1 C 2.39
2 Ho 0.0012 0.5000 0.8095 (multiplicity 4)  2 C 2.50
3 C 0.0000 0.0000 0.0000 (multiplicity 2)  2 Dy 2.39, 4 Ho 2.50
4 I 0.0000 0.0000 0.5000 (multiplicity 2)  4 Ho 3.23
5 Br 0.1702 0.5000 0.3277 (multiplicity 4)  2 Dy 2.84, 1 Ho 2.88
6 Cl 0.1703 0.5000 0.8552 (multiplicity 4)  2 Dy 2.76, 1 Ho 2.83

***

No. 12
The following is a DFT calculation (PBE) of a geometry-optimized HoAlCl6 structure.

Size of the total moment ... 0.00 μB per formula unit
Total energy ... -4.30 eV per atom

abc: 6.4265 11.1519 6.3881
angles: 90.00 109.72 90.00
With the nearest neighbours (Å) after each atom.
Space group C2 (No. 5)
Inequivalent atoms, fractional coordinates:
1 Ho 0.0000 0.0000 0.0000 (multiplicity 2)  6 Cl 2.63-2.64
2 Al 0.0000 0.3319 0.0000 (multiplicity 2)  6 Cl 2.34-2.36
3 Cl 0.2196 0.1828 0.2309 (multiplicity 4)  1 Al 2.35, 1 Ho 2.63
4 Cl 0.2204 0.3356 0.7731 (multiplicity 4)  1 Al 2.34
5 Cl 0.2297 0.4787 0.2301 (multiplicity 4)  1 Al 2.36, 1 Ho 2.64

***

No. 13
The following is a DFT calculation (PBE) of a geometry-optimized PrMgGa structure.

Size of the total moment ... 0.00 μB per formula unit
Total energy ... -3.55 eV per atom
Energy relative to the lowest polymorph listed for this composition ... 57 meV per atom

abc: 4.7626 4.7626 7.6430
angles: 90.00 90.00 120.00
With the nearest neighbours (Å) after each atom.
Space group P6_3mc (No. 186)
Inequivalent atoms, fractional coordinates:
1 Pr 0.0000 0.0000 0.0000 (multiplicity 2)  6 Ga 3.22-3.49, 6 Mg 3.28-3.42
2 Mg 0.3333 0.6667 0.2664 (multiplicity 2)  3 Ga 2.77
3 Ga 0.3333 0.6667 0.7182 (multiplicity 2)  3 Mg 2.77

***

No. 14
The following is a DFT calculation (PBE) of a geometry-optimized LuMgTl structure.

Size of the total moment ... 0.00 μB per formula unit
Total energy ... -3.07 eV per atom

abc: 7.4251 7.4251 4.6087
angles: 90.00 90.00 120.00
With the nearest neighbours (Å) after each atom.
Space group P-62m (No. 189)
Inequivalent atoms, fractional coordinates:
1 Lu 0.0000 0.5667 0.0000 (multiplicity 3)  5 Tl 3.19-3.22, 2 Mg 3.33
2 Mg 0.0000 0.2429 0.5000 (multiplicity 3)  4 Tl 2.87-2.93, 2 Mg 3.12
3 Tl 0.0000 0.0000 0.0000 (multiplicity 1)  6 Mg 2.93, 3 Lu 3.22
4 Tl 0.3333 0.6667 0.5000 (multiplicity 2)  3 Mg 2.87, 6 Lu 3.19

***

No. 15
The following is a DFT calculation (PBE) of a geometry-optimized Sc2TcOs2 structure.

Size of the total moment ... 0.01 μB per formula unit
Total energy ... -8.54 eV per atom
DFT formation energy ... 555.2 meV per atom
Energy relative to the lowest polymorph listed for this composition ... 0 meV per atom

abc: 3.5969 3.5969 13.4319
angles: 90.00 90.00 90.00
With the nearest neighbours (Å) after each atom.
Space group I4/mmm (No. 139)
Inequivalent atoms, fractional coordinates:
1 Sc 0.0000 0.0000 0.0979 (multiplicity 4)  1 Sc 2.63, 4 Os 2.72, 4 Tc 2.86
2 Tc 0.0000 0.0000 0.5000 (multiplicity 2)  8 Sc 2.86
3 Os 0.0000 0.5000 0.2500 (multiplicity 4)  4 Os 2.54, 4 Sc 2.72

***

No. 16
The following is a DFT calculation (PBE) of a geometry-optimized ErZrTlC structure.

Size of the total moment ... 0.00 μB per formula unit
Total energy ... -6.68 eV per atom
Energy relative to the lowest polymorph listed for this composition ... 1 meV per atom

abc: 3.4628 3.4628 15.6249
angles: 90.00 90.00 120.00
With the nearest neighbours (Å) after each atom.
Space group P6_3mc (No. 186)
Inequivalent atoms, fractional coordinates:
1 Er 0.3333 0.6667 0.0000 (multiplicity 2)  3 C 2.47
2 Zr 0.3333 0.6667 0.6659 (multiplicity 2)  3 C 2.30
3 Tl 0.3333 0.6667 0.3301 (multiplicity 2)  3 Zr 3.25, 3 Er 3.32, 6 Tl 3.46
4 C 0.0000 0.0000 0.0925 (multiplicity 2)  3 Zr 2.30, 3 Er 2.47

***

No. 17
The following is a DFT calculation (PBE) of a geometry-optimized GePdNO structure.

Total energy ... -5.39 eV per atom
Energy relative to the lowest polymorph listed for this composition ... 750 meV per atom

abc: 4.0767 4.0767 5.9642
angles: 90.00 90.00 90.00
With the nearest neighbours (Å) after each atom.
Space group P4/nmm (No. 129, origin choice 2)
Inequivalent atoms, fractional coordinates:
1 Ge 0.2500 0.7500 0.0000 (multiplicity 2)  4 N 2.06
2 Pd 0.2500 0.2500 0.4054 (multiplicity 2)  4 O 2.11
3 N 0.2500 0.2500 0.9543 (multiplicity 2)  4 Ge 2.06
4 O 0.2500 0.7500 0.5000 (multiplicity 2)  4 Pd 2.11

***

No. 18
The following is a DFT calculation (PBE) of a geometry-optimized SmHgSeO structure.

Size of the total moment ... 0.00 μB per formula unit
Total energy ... -5.19 eV per atom
Energy relative to the lowest polymorph listed for this composition ... 7 meV per atom

abc: 9.9809 5.8419 5.8479
angles: 90.00 103.59 90.00
With the nearest neighbours (Å) after each atom.
Space group P2_1/c (No. 14)
Inequivalent atoms, fractional coordinates:
1 Sm 0.1129 0.0011 0.2953 (multiplicity 4)  4 O 2.33-2.34
2 Hg 0.4930 0.2282 0.5001 (multiplicity 4)  3 Hg 2.67-2.94, 2 Se 2.72-2.79
3 Se 0.2689 0.5048 0.3693 (multiplicity 4)  2 Hg 2.72-2.79
4 O 0.9995 0.2505 0.9998 (multiplicity 4)  4 Sm 2.33-2.34

***

No. 19
The following is a DFT calculation (PBE) of a geometry-optimized PmCdPt structure.

Size of the total moment ... 0.00 μB per formula unit
Total energy ... -4.12 eV per atom
DFT formation energy ... -223.0 meV per atom
Energy relative to the lowest polymorph listed for this composition ... 526 meV per atom

abc: 6.9065 6.9065 6.9065
angles: 90.00 90.00 90.00
With the nearest neighbours (Å) after each atom.
Space group F-43m (No. 216)
Inequivalent atoms, fractional coordinates:
1 Pm 0.0000 0.0000 0.0000 (multiplicity 4)  4 Pt 2.99, 4 Cd 2.99
2 Cd 0.2500 0.2500 0.7500 (multiplicity 4)  4 Pm 2.99
3 Pt 0.2500 0.2500 0.2500 (multiplicity 4)  4 Pm 2.99

***

No. 20
The following is a DFT calculation (PBE) of a geometry-optimized RbInBAu structure.

Total energy ... -2.46 eV per atom
Energy relative to the lowest polymorph listed for this composition ... 0 meV per atom

abc: 7.2247 7.2247 7.2247
angles: 90.00 90.00 90.00
With the nearest neighbours (Å) after each atom.
Space group F-43m (No. 216)
Inequivalent atoms, fractional coordinates:
1 Rb 0.0000 0.0000 0.0000 (multiplicity 4)  4 B 3.13, 4 Au 3.13
2 In 0.0000 0.0000 0.5000 (multiplicity 4)  4 Au 3.13, 4 B 3.13
3 B 0.2500 0.2500 0.2500 (multiplicity 4)  4 In 3.13, 4 Rb 3.13
4 Au 0.2500 0.2500 0.7500 (multiplicity 4)  4 Rb 3.13, 4 In 3.13